[1]
# PBE K2MnTe, optimized geometry
# **N(E_F)**: 2.713 states/eV per cell
# **E_form (uncorrected)**: 0.01 eV/atom
data_K2MnTe
_symmetry_space_group_name_H-M 'P 1'
_symmetry_Int_Tables_number 1
_cell_length_a 4.027
_cell_length_b 4.027
_cell_length_c 10.128
_cell_angle_alpha 90.00
_cell_angle_beta 90.00
_cell_angle_gamma 90.00
loop_
_symmetry_equiv_pos_as_xyz
'x,y,z'
loop_
_atom_site_label
_atom_site_fract_x
_atom_site_fract_y
_atom_site_fract_z
K1 0.000 0.000 0.000
K2 0.500 0.500 0.386
Mn1 0.000 0.000 0.673
Te1 0.500 0.500 0.728

=====

[2]
# PBE Pm2IN2, optimized geometry
# **N(E_F)**: 5.158 states/eV per cell
# **E_form (uncorrected)**: -1.00 eV/atom
data_Pm2IN2
_symmetry_space_group_name_H-M 'P 1'
_symmetry_Int_Tables_number 1
_cell_length_a 7.987
_cell_length_b 7.987
_cell_length_c 6.669
_cell_angle_alpha 100.12
_cell_angle_beta 100.12
_cell_angle_gamma 30.39
loop_
_symmetry_equiv_pos_as_xyz
'x,y,z'
loop_
_atom_site_label
_atom_site_fract_x
_atom_site_fract_y
_atom_site_fract_z
Pm1 0.011 0.654 0.851
Pm2 0.346 0.989 0.649
Pm3 0.654 0.011 0.351
Pm4 0.989 0.346 0.149
I1 0.265 0.735 0.250
I2 0.735 0.265 0.750
N1 0.139 0.423 0.473
N2 0.423 0.139 0.973
N3 0.577 0.861 0.027
N4 0.861 0.577 0.527

=====

[3]
# PBE Pu5Cd2Ag4, optimized geometry
# **N(E_F)**: 26.677 states/eV per cell
# **Energy relative to the elements**: 0.1439 eV/atom
data_Pu5Cd2Ag4
_symmetry_space_group_name_H-M 'P 1'
_symmetry_Int_Tables_number 1
_cell_length_a 5.988
_cell_length_b 5.988
_cell_length_c 8.019
_cell_angle_alpha 99.11
_cell_angle_beta 99.11
_cell_angle_gamma 60.76
loop_
_symmetry_equiv_pos_as_xyz
'x,y,z'
loop_
_atom_site_label
_atom_site_fract_x
_atom_site_fract_y
_atom_site_fract_z
Pu1 0.000 0.000 0.000
Pu2 0.172 0.655 0.765
Pu3 0.345 0.828 0.235
Pu4 0.655 0.172 0.765
Pu5 0.828 0.345 0.235
Cd1 0.139 0.139 0.620
Cd2 0.861 0.861 0.380
Ag1 0.308 0.308 0.056
Ag2 0.360 0.360 0.413
Ag3 0.640 0.640 0.587
Ag4 0.692 0.692 0.944

=====

- Among the records above, which one has the lowest N(E_F)?
  K2MnTe